(1)
The following is a PBE-GGA calculation of a relaxed structure of Y3Hg8, from the Alexandria database.

```
Y3Hg8
1.0
4.880 0.000 1.072
2.322 4.292 1.072
-0.219 -0.131 12.646
Y Hg
3 8
direct
0.000 0.000 0.000
0.549 0.549 0.353
0.451 0.451 0.647
0.637 0.637 0.090
0.363 0.363 0.910
0.727 0.727 0.820
0.273 0.273 0.180
0.833 0.833 0.502
0.167 0.167 0.498
0.914 0.914 0.257
0.086 0.086 0.743
```

## Properties
excess energy over the best structure of this formula in the dataset	0.00	kcal/mol of atoms
energy relative to the elements	-0.335	eV per atom



(2)
The following is a PBE-GGA calculation of a relaxed structure of Zr2AsPb, from the Alexandria database.

```
Zr2AsPb
1.0
-2.903 -2.476 0.160
2.116 -2.443 0.582
0.586 -0.218 7.254
Pb As Zr
1 1 2
direct
0.500 0.750 0.750
0.500 0.250 0.250
0.000 0.051 0.027
0.000 0.449 0.473
```

## Properties
excess energy over the best structure of this formula in the dataset	4.01	kcal/mol of atoms
energy relative to the elements	-0.465	eV per atom



(3)
The following is a PBE-GGA calculation of a relaxed structure of KRe2Ru, from the Alexandria database.

```
KRe2Ru
1.0
3.257 0.000 0.000
0.000 3.257 0.000
0.000 0.000 8.068
K Re Ru
1 2 1
direct
0.500 0.500 0.750
0.000 0.000 0.099
0.000 0.000 0.401
0.500 0.500 0.250
```

## Properties
excess energy over the best structure of this formula in the dataset	10.02	kcal/mol of atoms
energy relative to the elements	1.139	eV per atom



(4)
The following is a PBE-GGA calculation of a relaxed structure of PuMgScHg, from the Alexandria database.

```
PuMgScHg
1.0
5.178 0.000 0.000
2.589 4.484 0.000
2.589 1.495 4.228
Sc Mg Hg Pu
1 1 1 1
direct
0.000 0.000 0.000
0.750 0.750 0.750
0.250 0.250 0.250
0.500 0.500 0.500
```

## Properties
energy relative to the elements	-0.023	eV per atom



(5)
The following is a PBE-GGA calculation of a relaxed structure of Tl5Pb3S12, from the Alexandria database.

```
Tl5Pb3S12
1.0
-8.795 10.078 -4.567
-7.245 -11.937 2.191
6.033 4.137 12.094
Pb Tl S
12 20 48
direct
0.750 0.375 0.125
0.875 0.750 0.125
0.375 0.750 0.625
0.250 0.125 0.375
0.875 0.125 0.250
0.375 0.625 0.250
0.625 0.375 0.750
0.125 0.875 0.750
0.750 0.875 0.625
0.625 0.250 0.375
0.125 0.250 0.875
0.250 0.625 0.875
0.125 0.375 0.250
0.000 0.500 0.000
0.000 0.000 0.000
0.375 0.250 0.125
0.500 0.000 0.500
0.500 0.500 0.000
0.125 0.750 0.375
0.750 0.125 0.875
0.750 0.625 0.375
0.375 0.125 0.750
0.625 0.875 0.250
0.500 0.500 0.500
0.500 0.000 0.000
0.000 0.000 0.500
0.250 0.375 0.625
0.250 0.875 0.125
0.000 0.500 0.500
0.875 0.250 0.625
0.625 0.750 0.875
0.875 0.625 0.750
0.717 0.131 0.043
0.326 0.543 0.413
0.957 0.369 0.283
0.543 0.217 0.131
0.586 0.717 0.674
0.957 0.587 0.174
0.326 0.783 0.414
0.087 0.914 0.131
0.587 0.957 0.674
0.717 0.586 0.174
0.783 0.457 0.369
0.826 0.913 0.043
0.131 0.717 0.543
0.369 0.413 0.086
0.086 0.913 0.369
0.414 0.131 0.587
0.086 0.174 0.217
0.457 0.674 0.087
0.826 0.914 0.283
0.131 0.414 0.087
0.369 0.957 0.783
0.587 0.631 0.414
0.913 0.826 0.543
0.783 0.326 0.914
0.413 0.369 0.586
0.087 0.174 0.457
0.217 0.674 0.086
0.174 0.086 0.717
0.631 0.043 0.217
0.869 0.586 0.913
0.543 0.326 0.913
0.586 0.869 0.413
0.914 0.826 0.783
0.914 0.087 0.631
0.869 0.283 0.457
0.174 0.087 0.957
0.631 0.587 0.914
0.413 0.043 0.326
0.283 0.414 0.826
0.217 0.543 0.631
0.913 0.086 0.869
0.674 0.217 0.586
0.457 0.783 0.869
0.043 0.413 0.826
0.414 0.283 0.326
0.043 0.631 0.717
0.674 0.457 0.587
0.283 0.869 0.957
```

## Properties
formation energy from raw total energies	-0.0202	eV per atom



(6)
The following is a PBE-GGA calculation of a relaxed structure of BaHgTePd2, from the Alexandria database.

```
BaHgTePd2
1.0
-4.923 -0.079 -1.287
0.316 -5.722 -0.859
-1.259 -0.800 4.866
Te Hg Pd Ba
1 1 2 1
direct
0.000 0.000 0.000
0.000 0.500 0.000
0.000 0.000 0.500
0.500 0.000 0.000
0.500 0.500 0.500
```

## Properties
formation energy from raw total energies	-0.2955	eV per atom



(7)
The following is a PBE-GGA calculation of a relaxed structure of CdSeO2, from the Alexandria database.

```
CdSeO2
1.0
4.472 0.000 0.000
0.000 4.472 0.000
2.236 2.236 6.332
O Se Cd
4 2 2
direct
0.592 0.125 0.250
0.158 0.625 0.250
0.375 0.408 0.750
0.875 0.842 0.750
0.500 0.500 0.000
0.250 0.750 0.500
0.000 0.000 0.000
0.750 0.250 0.500
```

## Properties
excess energy over the best structure of this formula in the dataset	7.71	kcal/mol of atoms
formation energy from raw total energies	-0.2931	eV per atom



(8)
The following is a PBE-GGA calculation of a relaxed structure of La2VGa2, from the Alexandria database.

```
La2VGa2
1.0
-4.934 -1.322 -5.418
5.566 -0.728 -4.892
0.207 -4.450 0.898
La Ga V
4 4 2
direct
0.176 0.676 0.500
0.676 0.824 0.500
0.824 0.324 0.500
0.324 0.176 0.500
0.373 0.873 0.000
0.873 0.627 0.000
0.627 0.127 0.000
0.127 0.373 0.000
0.000 0.000 0.000
0.500 0.500 0.000
```

## Properties
excess energy over the best structure of this formula in the dataset	0.00	kcal/mol of atoms
energy relative to the elements	-0.209	eV per atom



(9)
The following is a PBE-GGA calculation of a relaxed structure of MnTlBr5, from the Alexandria database.

```
MnTlBr5
1.0
-1.189 -4.232 -5.835
-0.107 -7.076 1.815
-9.662 -3.409 0.100
Mn Tl Br
2 2 10
direct
0.000 0.000 0.000
0.000 0.000 0.500
0.525 0.475 0.250
0.475 0.525 0.750
0.929 0.677 0.119
0.168 0.641 0.511
0.677 0.929 0.619
0.924 0.076 0.250
0.359 0.832 0.989
0.641 0.168 0.011
0.076 0.924 0.750
0.323 0.071 0.381
0.832 0.359 0.489
0.071 0.323 0.881
```

## Properties
excess energy over the best structure of this formula in the dataset	0.00	kcal/mol of atoms
formation energy from raw total energies	-0.5651	eV per atom



(10)
The following is a PBE-GGA calculation of a relaxed structure of Tb2PrSmEr2, from the Alexandria database.

```
Tb2PrSmEr2
1.0
3.406 0.000 0.000
0.000 6.560 0.000
0.000 0.000 17.938
Tb Pr Sm Er
4 2 2 4
direct
0.500 0.278 0.313
0.000 0.778 0.187
0.500 0.722 0.687
0.000 0.222 0.813
0.000 0.000 0.000
0.500 0.500 0.500
0.500 0.500 0.000
0.000 0.000 0.500
0.500 0.780 0.351
0.500 0.220 0.649
0.000 0.720 0.851
0.000 0.280 0.149
```

## Properties
energy relative to the elements	0.277	eV per atom



(11)
The following is a PBE-GGA calculation of a relaxed structure of TaAlCu, from the Alexandria database.

```
TaAlCu
1.0
4.141 0.000 0.000
2.071 3.587 0.000
2.071 1.196 3.381
Al Cu Ta
1 1 1
direct
0.500 0.500 0.500
0.750 0.750 0.750
0.000 0.000 0.000
```

## Properties
energy relative to the elements	0.176	eV per atom



(12)
The following is a PBE-GGA calculation of a relaxed structure of CaPm12Er7, from the Alexandria database.

```
CaPm12Er7
1.0
9.471 0.000 -3.349
-4.736 8.202 -3.349
0.000 0.000 10.046
Ca Pm Er
1 12 7
direct
0.000 0.000 0.000
0.472 0.736 0.735
0.001 0.736 0.265
0.528 0.264 0.265
0.999 0.264 0.735
0.735 0.999 0.264
0.735 0.472 0.736
0.265 0.001 0.736
0.265 0.528 0.264
0.736 0.735 0.472
0.264 0.265 0.528
0.736 0.265 0.001
0.264 0.735 0.999
0.500 0.500 0.000
0.000 0.500 0.500
0.500 0.000 0.500
0.500 0.500 0.500
0.000 0.000 0.500
0.500 0.000 0.000
0.000 0.500 0.000
```

## Properties
energy relative to the elements	0.650	eV per atom